The following is a DFT calculation (PBE) of a relaxed structure of CaMg6CuO8.

Output
Symmetry: P4/mmm, No. 123
Calculated density: 3.80 g cm⁻³
Raw formation energy: -2.387 eV/atom
Energy above the lowest structure with this stoichiometry: 0.002 eV per atom

Cell lengths 4.3866, 4.3866, 8.5707 Å; angles 90.00, 90.00, 90.00 degrees
Last column: nearest neighbours and their distance in Å.
Fractional positions:
Ca 0.0000 0.0000 0.0000  6 O 2.19-2.27
Mg 0.5000 0.5000 0.0000  6 O 2.15-2.19
Mg 0.5000 0.5000 0.5000  6 O 2.13-2.19
Mg 0.0000 0.5000 0.2586  6 O 2.07-2.22
Mg 0.0000 0.5000 0.7414  6 O 2.07-2.22
Mg 0.5000 0.0000 0.2586  6 O 2.07-2.22
Mg 0.5000 0.0000 0.7414  6 O 2.07-2.22
Cu 0.0000 0.0000 0.5000  6 O 2.01-2.19
O 0.0000 0.0000 0.2650  1 Cu 2.01, 4 Mg 2.19
O 0.0000 0.0000 0.7350  1 Cu 2.01, 4 Mg 2.19
O 0.5000 0.5000 0.2510  6 Mg 2.13-2.19
O 0.5000 0.5000 0.7490  6 Mg 2.13-2.19
O 0.0000 0.5000 0.0000  4 Mg 2.19-2.22, 2 Ca 2.19
O 0.0000 0.5000 0.5000  4 Mg 2.07-2.19, 2 Cu 2.19
O 0.5000 0.0000 0.0000  4 Mg 2.19-2.22, 2 Ca 2.19
O 0.5000 0.0000 0.5000  4 Mg 2.07-2.19, 2 Cu 2.19

***

The following is a DFT calculation (PBE) of a relaxed structure of CaPrMgCu.

Output
Symmetry: F-43m, No. 216
Calculated density: 4.22 g cm⁻³
DFT formation energy: -31.2 meV per atom

Cell lengths 5.3068, 5.3068, 5.3068 Å; angles 60.00, 60.00, 60.00 degrees
Last column: nearest neighbours and their distance in Å.
Fractional positions:
Pr 0.0000 0.0000 0.0000  4 Cu 3.25, 4 Mg 3.25
Ca 0.5000 0.5000 0.5000  4 Cu 3.25, 4 Mg 3.25
Mg 0.7500 0.7500 0.7500  4 Ca 3.25, 4 Pr 3.25
Cu 0.2500 0.2500 0.2500  4 Pr 3.25, 4 Ca 3.25

***

The following is a DFT calculation (PBE) of a relaxed structure of RbCa2MgCu.

Output
Symmetry: P4/mmm, No. 123
Calculated density: 2.34 g cm⁻³
DFT formation energy: 114.5 meV per atom

Cell lengths 5.8004, 5.8004, 5.3500 Å; angles 90.00, 90.00, 90.00 degrees
Last column: nearest neighbours and their distance in Å.
Fractional positions:
Mg 0.0000 0.0000 0.5000  2 Cu 2.68
Ca 0.0000 0.5000 0.0000  2 Cu 2.90
Ca 0.5000 0.0000 0.0000  2 Cu 2.90
Cu 0.0000 0.0000 0.0000  2 Mg 2.68, 4 Ca 2.90
Rb 0.5000 0.5000 0.5000  8 Ca 3.95, 4 Mg 4.10

***

The following is a DFT calculation (PBE) of a relaxed structure of CaMgCuRh.

Output
Symmetry: F-43m, No. 216
Calculated density: 5.25 g cm⁻³
DFT formation energy: -203.7 meV per atom

Cell lengths 4.6905, 4.6905, 4.6905 Å; angles 60.00, 60.00, 60.00 degrees
Last column: nearest neighbours and their distance in Å.
Fractional positions:
Ca 0.0000 0.0000 0.0000  4 Cu 2.87, 4 Rh 2.87
Rh 0.7500 0.7500 0.7500  4 Ca 2.87, 4 Mg 2.87
Mg 0.5000 0.5000 0.5000  4 Rh 2.87, 4 Cu 2.87
Cu 0.2500 0.2500 0.2500  4 Mg 2.87, 4 Ca 2.87

***

The following is a DFT calculation (PBE) of a relaxed structure of CaMgCu2Rh.

Output
Symmetry: P4/mmm, No. 123
Calculated density: 4.50 g cm⁻³
DFT formation energy: 952.8 meV per atom

Cell lengths 4.4846, 5.3998, 4.4846 Å; angles 90.00, 90.00, 90.00 degrees
Last column: nearest neighbours and their distance in Å.
Fractional positions:
Ca 0.0000 0.5000 0.0000  2 Mg 2.70
Rh 0.5000 0.5000 0.5000  4 Ca 3.17, 8 Cu 3.51
Mg 0.0000 0.0000 0.0000  4 Cu 2.24
Cu 0.0000 0.0000 0.5000  2 Mg 2.24
Cu 0.5000 0.0000 0.0000  2 Mg 2.24

***

The following is a DFT calculation (PBE) of a relaxed structure of CaMgCu5Si2.

Output
Symmetry: P4/mmm, No. 123
Calculated density: 5.06 g cm⁻³
Raw formation energy: -0.019 eV/atom

Cell lengths 4.3339, 4.3339, 7.6634 Å; angles 90.00, 90.00, 90.00 degrees
Last column: nearest neighbours and their distance in Å.
Fractional positions:
Ca 0.0000 0.0000 0.5000  12 Cu 2.82-3.06
Mg 0.0000 0.0000 0.0000  8 Cu 2.97, 8 Si 3.29
Cu 0.0000 0.5000 0.2645  2 Si 2.32
Cu 0.5000 0.0000 0.2645  2 Si 2.32
Cu 0.0000 0.5000 0.7355  2 Si 2.32
Cu 0.5000 0.0000 0.7355  2 Si 2.32
Cu 0.5000 0.5000 0.5000  2 Si 2.62, 8 Cu 2.82
Si 0.5000 0.5000 0.1579  4 Cu 2.32, 1 Si 2.42
Si 0.5000 0.5000 0.8421  4 Cu 2.32, 1 Si 2.42

***

The following is a DFT calculation (PBE) of a relaxed structure of CaMgCu2Si2.

Output
Symmetry: P-3m1, No. 164
Calculated density: 3.96 g cm⁻³
Raw formation energy: -0.299 eV/atom

Cell lengths 4.1557, 4.1557, 6.9444 Å; angles 90.00, 90.00, 120.00 degrees
Last column: nearest neighbours and their distance in Å.
Fractional positions:
Ca 0.0000 0.0000 0.0000  6 Si 3.10, 6 Cu 3.25
Mg 0.0000 0.0000 0.5000  6 Cu 2.72, 6 Si 2.84
Cu 0.3333 0.6667 0.6837  3 Si 2.41
Cu 0.6667 0.3333 0.3163  3 Si 2.41
Si 0.3333 0.6667 0.2824  3 Cu 2.41
Si 0.6667 0.3333 0.7176  3 Cu 2.41

***

The following is a DFT calculation (PBE) of a relaxed structure of Ca2MgCu4Si3.

Output
Symmetry: P-4m2, No. 115
Calculated density: 4.28 g cm⁻³
Raw formation energy: -0.317 eV/atom

Cell lengths 4.1425, 4.1425, 10.0149 Å; angles 90.00, 90.00, 90.00 degrees
Last column: nearest neighbours and their distance in Å.
Fractional positions:
Ca 0.5000 0.0000 0.2360  6 Si 3.13-3.36, 8 Cu 3.14-3.17, 2 Mg 3.36
Ca 0.0000 0.5000 0.7640  6 Si 3.13-3.36, 8 Cu 3.14-3.17, 2 Mg 3.36
Mg 0.5000 0.5000 0.5000  4 Cu 2.51
Cu 0.5000 0.5000 0.0000  4 Si 2.42
Cu 0.0000 0.0000 0.0000  4 Si 2.42
Cu 0.5000 0.0000 0.6424  3 Si 2.33-2.51, 2 Mg 2.51
Cu 0.0000 0.5000 0.3576  3 Si 2.33-2.51, 2 Mg 2.51
Si 0.0000 0.0000 0.5000  4 Cu 2.51
Si 0.5000 0.0000 0.8751  5 Cu 2.33-2.42
Si 0.0000 0.5000 0.1249  5 Cu 2.33-2.42

***

The following is a DFT calculation (PBE) of a relaxed structure of CaMg2Cu2Sn2.

Output
Symmetry: R-3m, No. 166
Calculated density: 4.99 g cm⁻³
DFT formation energy: -283.2 meV per atom

Cell lengths 4.5128, 4.5128, 8.9417 Å; angles 75.38, 75.38, 60.00 degrees
Last column: nearest neighbours and their distance in Å.
Fractional positions:
Ca 0.0000 0.0000 0.0000  6 Sn 3.28, 2 Mg 3.52
Mg 0.1370 0.1370 0.5889  3 Cu 2.74, 4 Sn 3.02-3.04, 3 Mg 3.02
Mg 0.8630 0.8630 0.4111  3 Cu 2.74, 4 Sn 3.02-3.04, 3 Mg 3.02
Cu 0.5625 0.5625 0.3126  3 Sn 2.69, 3 Mg 2.74
Cu 0.4375 0.4375 0.6874  3 Sn 2.69, 3 Mg 2.74
Sn 0.7445 0.7445 0.7666  3 Cu 2.69
Sn 0.2555 0.2555 0.2334  3 Cu 2.69

***

The following is a DFT calculation (PBE) of a relaxed structure of CaMgCu2Sn.

Output
Symmetry: P4/mmm, No. 123
Calculated density: 4.11 g cm⁻³
DFT formation energy: 552.8 meV per atom

Cell lengths 4.7316, 5.6023, 4.7316 Å; angles 90.00, 90.00, 90.00 degrees
Last column: nearest neighbours and their distance in Å.
Fractional positions:
Mg 0.0000 0.0000 0.0000  4 Cu 2.37
Ca 0.0000 0.5000 0.0000  2 Mg 2.80
Sn 0.5000 0.5000 0.5000  4 Ca 3.35, 8 Cu 3.67
Cu 0.0000 0.0000 0.5000  2 Mg 2.37
Cu 0.5000 0.0000 0.0000  2 Mg 2.37

***

The following is a DFT calculation (PBE) of a relaxed structure of SrCa2MgCu.

Output
Symmetry: P4/mmm, No. 123
Calculated density: 2.30 g cm⁻³
Energy above the lowest structure with this stoichiometry: 0.044 eV per atom
DFT formation energy: 48.5 meV per atom

Cell lengths 5.6184, 5.6184, 5.8422 Å; angles 90.00, 90.00, 90.00 degrees
Last column: nearest neighbours and their distance in Å.
Fractional positions:
Sr 0.0000 0.0000 0.5000  2 Cu 2.92
Ca 0.0000 0.5000 0.0000  2 Cu 2.81
Ca 0.5000 0.0000 0.0000  2 Cu 2.81
Mg 0.5000 0.5000 0.5000  4 Sr 3.97, 8 Ca 4.05
Cu 0.0000 0.0000 0.0000  4 Ca 2.81, 2 Sr 2.92

***

The following is a DFT calculation (PBE) of a relaxed structure of SrCa2MgCu.

Output
Symmetry: P4/mmm, No. 123
Calculated density: 2.51 g cm⁻³
Energy above the lowest structure with this stoichiometry: 0.000 eV per atom
DFT formation energy: 4.6 meV per atom

Cell lengths 5.6637, 5.6637, 5.2743 Å; angles 90.00, 90.00, 90.00 degrees
Last column: nearest neighbours and their distance in Å.
Fractional positions:
Sr 0.5000 0.5000 0.5000  8 Ca 3.87, 4 Mg 4.00
Ca 0.0000 0.5000 0.0000  2 Cu 2.83
Ca 0.5000 0.0000 0.0000  2 Cu 2.83
Mg 0.0000 0.0000 0.5000  2 Cu 2.64
Cu 0.0000 0.0000 0.0000  2 Mg 2.64, 4 Ca 2.83

***

Question: Among the records above, which one has the highest calculated density?
Answer: CaMgCuRh